[1]
Li2YB2 | PBE | optimized geometry

Unit cell a=3.704 b=3.704 c=10.009 alpha=90.00 beta=90.00 gamma=90.00
Space group I4/mmm (No. 139)
Inequivalent atoms, fractional coordinates:
Li 0.000 0.500 0.250 [4 per cell]
Y 0.000 0.000 0.000 [2 per cell]
B 0.000 0.000 0.420 [4 per cell]

Values from the calculation:
formation enthalpy at 0 K = -0.064 eV/atom
ΔE to the lowest computed polymorph = 0.0 meV per atom

***

[2]
LiYB | PBE | optimized geometry

Unit cell a=3.562 b=3.212 c=10.027 alpha=90.00 beta=100.19 gamma=90.00
Space group P2_1/m (No. 11)
Inequivalent atoms, fractional coordinates:
Li 0.209 0.250 0.418 [2 per cell]
Y 0.421 0.250 0.838 [2 per cell]
B 0.017 0.250 0.032 [2 per cell]

Values from the calculation:
formation enthalpy at 0 K = -0.257 eV/atom

***

[3]
Li2Y4B | PBE | optimized geometry

Unit cell a=5.074 b=5.074 c=15.074 alpha=90.00 beta=90.00 gamma=90.00
Space group I4/mmm (No. 139)
Inequivalent atoms, fractional coordinates:
Li 0.000 0.000 0.132 [4 per cell]
Y 0.000 0.000 0.331 [4 per cell]
Y 0.000 0.500 0.000 [4 per cell]
B 0.000 0.000 0.500 [2 per cell]

Values from the calculation:
formation enthalpy at 0 K = 0.172 eV/atom

***

[4]
LiYB12 | PBE | optimized geometry

Unit cell a=4.120 b=4.120 c=8.243 alpha=90.00 beta=90.00 gamma=90.00
Space group P4/mmm (No. 123)
Inequivalent atoms, fractional coordinates:
Li 0.000 0.000 0.000 [1 per cell]
Y 0.000 0.000 0.500 [1 per cell]
B 0.200 0.500 0.252 [8 per cell]
B 0.500 0.500 0.101 [2 per cell]
B 0.500 0.500 0.401 [2 per cell]

Values from the calculation:
formation enthalpy at 0 K = -0.263 eV/atom

***

[5]
LiY2B | PBE | optimized geometry

Unit cell a=7.564 b=7.564 c=6.742 alpha=90.00 beta=90.00 gamma=90.00
Space group I-42d (No. 122)
Inequivalent atoms, fractional coordinates:
Li 0.000 0.000 0.000 [4 per cell]
Y 0.181 0.250 0.625 [8 per cell]
B 0.000 0.000 0.500 [4 per cell]

Values from the calculation:
formation enthalpy at 0 K = 0.310 eV/atom

***

[6]
Li3YB | PBE | optimized geometry

Unit cell a=5.600 b=5.600 c=5.600 alpha=90.00 beta=90.00 gamma=90.00
Space group Pm-3m (No. 221)
Inequivalent atoms, fractional coordinates:
Li 0.000 0.000 0.500 [3 per cell]
Y 0.000 0.000 0.000 [1 per cell]
B 0.500 0.500 0.500 [1 per cell]

Values from the calculation:
formation enthalpy at 0 K = 1.996 eV/atom
ΔE to the lowest computed polymorph = 1643.6 meV per atom